one | A plane-wave DFT calculation with PBE-GGA was carried out for an optimized crystal structure of MnCo2Br.

V ... 54.7 Å³/f.u.

a = 4.2027 Å, b = 4.2027 Å, c = 3.0960 Å
α = 90.00°, β = 90.00°, γ = 90.00°
Last column: nearest neighbours and their distance in Å.
Space group P4/mmm (No. 123)
One atom of each set of equivalent atoms:
Mn 0.0000 0.0000 0.0000 [1 per cell]  8 Co 2.61
Co 0.0000 0.5000 0.5000 [2 per cell]  4 Mn 2.61, 4 Br 2.61
Br 0.5000 0.5000 0.0000 [1 per cell]  8 Co 2.61

two | A plane-wave DFT calculation with PBE-GGA was carried out for an optimized crystal structure of MnCo2Br.

V ... 72.7 Å³/f.u.

a = 3.6996 Å, b = 3.6996 Å, c = 6.1370 Å
α = 90.00°, β = 90.00°, γ = 120.00°
Last column: nearest neighbours and their distance in Å.
Space group P3m1 (No. 156)
One atom of each set of equivalent atoms:
Mn 0.0000 0.0000 0.0000 [1 per cell]  3 Co 2.55, 3 Br 2.76
Co 0.3333 0.6667 0.3183 [1 per cell]  3 Co 2.21, 1 Br 2.44
Co 0.6667 0.3333 0.2270 [1 per cell]  3 Co 2.21
Br 0.3333 0.6667 0.7152 [1 per cell]  1 Co 2.44

In terms of stability, two leads; the second structure lies 284 meV/atom higher.